First-principles (PBE) data for a relaxed Na2Sr2Pd crystal, as listed in Alexandria.

- offset from the most stable computed form (kJ/mol of atoms) = 5.1
- total moment (μB/f.u.) = 0.00
- theoretical density (Mg/m³) = 3.235
- SG = P4/mbm

Unit cell a=7.800 b=7.800 c=5.528 alpha=90.00 beta=90.00 gamma=90.00
Fractional positions:
1 Na 0.641 0.141 0.000
2 Na 0.359 0.859 0.000
3 Na 0.141 0.359 0.000
4 Na 0.859 0.641 0.000
5 Sr 0.689 0.811 0.500
6 Sr 0.811 0.311 0.500
7 Sr 0.311 0.189 0.500
8 Sr 0.189 0.689 0.500
9 Pd 0.000 0.000 0.000
10 Pd 0.500 0.500 0.000

=====

First-principles (PBE) data for a relaxed AsPbF3 crystal, as listed in Alexandria.

- offset from the most stable computed form (kJ/mol of atoms) = 0.0
- total moment (μB/f.u.) = 0.00
- theoretical density (Mg/m³) = 6.310
- SG = Pm-3m
- raw formation energy (eV/atom) = -1.20

Unit cell a=4.469 b=4.469 c=4.469 alpha=90.00 beta=90.00 gamma=90.00
Fractional positions:
1 F 0.000 0.000 0.500
2 F 0.000 0.500 0.000
3 F 0.500 0.000 0.000
4 Pb 0.500 0.500 0.500
5 As 0.000 0.000 0.000

=====

First-principles (PBE) data for a relaxed Pm3Pr4NdTe8 crystal, as listed in Alexandria.

- total moment (μB/f.u.) = 0.00
- theoretical density (Mg/m³) = 6.950
- SG = R-3m
- raw formation energy (eV/atom) = -1.42

Unit cell a=9.003 b=9.016 c=8.999 alpha=119.93 beta=120.01 gamma=90.00
Fractional positions:
1 Pr 0.500 0.000 0.500
2 Pr 0.000 0.000 0.500
3 Pr 0.000 0.000 0.000
4 Pr 0.500 0.000 0.000
5 Pm 0.500 0.500 0.000
6 Pm 0.500 0.500 0.500
7 Pm 0.000 0.500 0.500
8 Te 0.252 0.255 0.504
9 Te 0.751 0.254 0.502
10 Te 0.253 0.254 0.004
11 Te 0.751 0.254 0.004
12 Te 0.748 0.745 0.496
13 Te 0.747 0.746 0.996
14 Te 0.249 0.746 0.996
15 Te 0.249 0.746 0.498
16 Nd 0.000 0.500 0.000

=====

First-principles (PBE) data for a relaxed ReNiHg3 crystal, as listed in Alexandria.

- offset from the most stable computed form (kJ/mol of atoms) = 0.0
- total moment (μB/f.u.) = 4.53
- theoretical density (Mg/m³) = 11.683
- SG = Pm-3m

Unit cell a=4.937 b=4.937 c=4.937 alpha=90.00 beta=90.00 gamma=90.00
Each line ends with the local moment (μB).
Fractional positions:
1 Re 0.500 0.500 0.500  3.68
2 Hg 0.000 0.500 0.000  -0.01
3 Hg 0.000 0.000 0.500  0.01
4 Hg 0.500 0.000 0.000  0.05
5 Ni 0.000 0.000 0.000  0.10

=====

First-principles (PBE) data for a relaxed VCr3Mo crystal, as listed in Alexandria.

- offset from the most stable computed form (kJ/mol of atoms) = 144.4
- total moment (μB/f.u.) = 11.00
- theoretical density (Mg/m³) = 5.105
- SG = Pm-3m

Unit cell a=4.619 b=4.619 c=4.619 alpha=90.00 beta=90.00 gamma=90.00
Each line ends with the local moment (μB).
Fractional positions:
1 Mo 0.000 0.000 0.000  -0.94
2 V 0.500 0.500 0.500  2.55
3 Cr 0.000 0.500 0.000  2.75
4 Cr 0.500 0.000 0.000  2.75
5 Cr 0.000 0.000 0.500  2.75

=====

First-principles (PBE) data for a relaxed TlTeAs2Pt crystal, as listed in Alexandria.

- total moment (μB/f.u.) = 0.95
- theoretical density (Mg/m³) = 7.562
- SG = P4/mmm
- raw formation energy (eV/atom) = 0.71

Unit cell a=5.468 b=4.971 c=5.468 alpha=90.00 beta=90.00 gamma=90.00
Each line ends with the local moment (μB).
Fractional positions:
1 As 0.500 0.000 0.000  0.22
2 As 0.000 0.000 0.500  0.15
3 Te 0.000 0.000 0.000  0.01
4 Pt 0.000 0.500 0.000  0.13
5 Tl 0.500 0.500 0.500  0.01